Record 1
The following is a GGA-PBE calculation of a geometry-optimized LiScC structure, from Alexandria via LeMat-Bulk.

a b c (Å): 5.3704 5.3704 5.3704
angles (deg): 90.00 90.00 90.00
Fractional coordinates of all 12 atoms:
Li 0.0000 0.0000 0.0000
Li 0.0000 0.5000 0.5000
Li 0.5000 0.0000 0.5000
Li 0.5000 0.5000 0.0000
Sc 0.2500 0.2500 0.2500
Sc 0.2500 0.7500 0.7500
Sc 0.7500 0.2500 0.7500
Sc 0.7500 0.7500 0.2500
C 0.0000 0.0000 0.5000
C 0.0000 0.5000 0.0000
C 0.5000 0.0000 0.0000
C 0.5000 0.5000 0.5000

Output
ρ: 2.74 g cm⁻³
formation energy from the elements: 0.5078 eV per atom
total magnetization: 0.000 μB per atom
crystal system: cubic
calculated total energy: -5.315 eV per atom

Record 2
The following is a GGA-PBE calculation of a geometry-optimized LiScC structure, from Alexandria via LeMat-Bulk.

a b c (Å): 3.2414 3.2414 4.2626
angles (deg): 90.00 90.00 90.00
Fractional coordinates of all 3 atoms:
Li 0.0000 0.0000 0.0000
Sc 0.5000 0.5000 0.5000
C 0.0000 0.0000 0.5000

Output
ρ: 2.37 g cm⁻³
formation energy from the elements: -0.0374 eV per atom
total magnetization: 0.000 μB per atom
crystal system: tetragonal
calculated total energy: -5.860 eV per atom

Record 3
The following is a GGA-PBE calculation of a geometry-optimized LiScC structure, from Alexandria via LeMat-Bulk.

a b c (Å): 3.6230 3.6230 6.2369
angles (deg): 90.00 90.00 120.00
Fractional coordinates of all 6 atoms:
Li 0.0000 0.0000 0.0000
Li 0.3333 0.6667 0.1056
Sc 0.0000 0.0000 0.3929
Sc 0.6667 0.3333 0.7588
C 0.3333 0.6667 0.6331
C 0.6667 0.3333 0.1506

Output
ρ: 2.99 g cm⁻³
formation energy from the elements: -0.0585 eV per atom
total magnetization: 0.000 μB per atom
crystal system: trigonal
calculated total energy: -5.882 eV per atom

Record 4
The following is a GGA-PBE calculation of a geometry-optimized LiScC structure, from Alexandria via LeMat-Bulk.

a b c (Å): 6.8266 6.8266 6.8266
angles (deg): 30.78 30.78 30.78
Fractional coordinates of all 6 atoms:
Li 0.0000 0.0000 0.0000
Li 0.1728 0.1728 0.1728
Sc 0.4209 0.4209 0.4209
Sc 0.5885 0.5885 0.5885
C 0.3005 0.3005 0.3005
C 0.8047 0.8047 0.8047

Output
ρ: 2.87 g cm⁻³
formation energy from the elements: -0.1053 eV per atom
total magnetization: 0.000 μB per atom
crystal system: trigonal
calculated total energy: -5.928 eV per atom